Record 1
! PBE Hg2TeBr2, optimized geometry; values from VASP
! - Space-group type: No. 14
! - DOS at the Fermi energy: 0.000 states/eV/atom
! - E_form (uncorrected): -366 meV per atom
&SYSTEM
  ibrav = 0, nat = 20, ntyp = 3
/
ATOMIC_SPECIES
Hg 200.59 Hg.upf
Te 127.60 Te.upf
Br 79.90 Br.upf
CELL_PARAMETERS angstrom
10.458 0.000 0.000
0.000 7.956 0.000
-2.293 0.000 9.484
ATOMIC_POSITIONS crystal
Hg 0.017 0.117 0.194
Hg 0.017 0.383 0.694
Hg 0.328 0.096 0.906
Hg 0.328 0.404 0.406
Hg 0.672 0.596 0.594
Hg 0.672 0.904 0.094
Hg 0.983 0.617 0.306
Hg 0.983 0.883 0.806
Te 0.134 0.077 0.669
Te 0.134 0.423 0.169
Te 0.866 0.577 0.831
Te 0.866 0.923 0.331
Br 0.182 0.611 0.586
Br 0.182 0.889 0.086
Br 0.494 0.718 0.394
Br 0.494 0.782 0.894
Br 0.506 0.218 0.106
Br 0.506 0.282 0.606
Br 0.818 0.111 0.914
Br 0.818 0.389 0.414


Record 2
! PBE TaIr3, optimized geometry; values from VASP
! - Space-group type: No. 221
! - Energy relative to the elements: 2176 meV/atom
! - DOS at the Fermi energy: 2.150 states/eV/atom
&SYSTEM
  ibrav = 0, nat = 4, ntyp = 2
/
ATOMIC_SPECIES
Ta 180.95 Ta.upf
Ir 192.22 Ir.upf
CELL_PARAMETERS angstrom
4.815 0.000 0.000
0.000 4.815 0.000
0.000 0.000 4.815
ATOMIC_POSITIONS crystal
Ta 0.000 0.000 0.000
Ir 0.000 0.000 0.500
Ir 0.000 0.500 0.000
Ir 0.500 0.000 0.000


Record 3
! PBE MgBeHg2, optimized geometry; values from VASP
! - Space-group type: No. 122
! - Energy relative to the elements: 316 meV/atom
! - DOS at the Fermi energy: 0.445 states/eV/atom
&SYSTEM
  ibrav = 0, nat = 16, ntyp = 3
/
ATOMIC_SPECIES
Mg 24.30 Mg.upf
Be 9.01 Be.upf
Hg 200.59 Hg.upf
CELL_PARAMETERS angstrom
4.385 0.000 0.000
0.000 4.385 0.000
0.000 0.000 17.843
ATOMIC_POSITIONS crystal
Mg 0.000 0.000 0.000
Mg 0.000 0.500 0.250
Mg 0.500 0.000 0.750
Mg 0.500 0.500 0.500
Be 0.000 0.000 0.500
Be 0.000 0.500 0.750
Be 0.500 0.000 0.250
Be 0.500 0.500 0.000
Hg 0.219 0.250 0.625
Hg 0.250 0.719 0.875
Hg 0.250 0.781 0.375
Hg 0.281 0.250 0.125
Hg 0.719 0.750 0.125
Hg 0.750 0.219 0.375
Hg 0.750 0.281 0.875
Hg 0.781 0.750 0.625


Record 4
! PBE Pr12Y2Tm, optimized geometry; values from VASP
! - Space-group type: No. 125
! - Energy relative to the elements: 316 meV/atom
! - DOS at the Fermi energy: 1.210 states/eV/atom
&SYSTEM
  ibrav = 0, nat = 30, ntyp = 3
/
ATOMIC_SPECIES
Pr 140.91 Pr.upf
Y 88.91 Y.upf
Tm 168.93 Tm.upf
CELL_PARAMETERS angstrom
6.635 0.000 0.000
0.000 6.635 0.000
0.000 0.000 25.685
ATOMIC_POSITIONS crystal
Pr 0.067 0.567 0.112
Pr 0.067 0.933 0.888
Pr 0.082 0.582 0.437
Pr 0.082 0.918 0.563
Pr 0.250 0.250 0.213
Pr 0.250 0.250 0.336
Pr 0.250 0.250 0.664
Pr 0.250 0.250 0.787
Pr 0.418 0.582 0.563
Pr 0.418 0.918 0.437
Pr 0.433 0.567 0.888
Pr 0.433 0.933 0.112
Pr 0.567 0.067 0.888
Pr 0.567 0.433 0.112
Pr 0.582 0.082 0.563
Pr 0.582 0.418 0.437
Pr 0.750 0.750 0.213
Pr 0.750 0.750 0.336
Pr 0.750 0.750 0.664
Pr 0.750 0.750 0.787
Pr 0.918 0.082 0.437
Pr 0.918 0.418 0.563
Pr 0.933 0.067 0.112
Pr 0.933 0.433 0.888
Y 0.250 0.750 0.271
Y 0.250 0.750 0.729
Y 0.750 0.250 0.271
Y 0.750 0.250 0.729
Tm 0.250 0.750 0.000
Tm 0.750 0.250 0.000


Record 5
! PBE LaGe3Bi, optimized geometry; values from VASP
! - Space-group type: No. 221
! - Energy relative to the elements: 536 meV/atom
! - DOS at the Fermi energy: 0.989 states/eV/atom
&SYSTEM
  ibrav = 0, nat = 5, ntyp = 3
/
ATOMIC_SPECIES
La 138.91 La.upf
Ge 72.64 Ge.upf
Bi 208.98 Bi.upf
CELL_PARAMETERS angstrom
5.401 0.000 0.000
0.000 5.401 0.000
0.000 0.000 5.401
ATOMIC_POSITIONS crystal
La 0.000 0.000 0.000
Ge 0.000 0.500 0.500
Ge 0.500 0.000 0.500
Ge 0.500 0.500 0.000
Bi 0.500 0.500 0.500


Record 6
! PBE ZnRePb, optimized geometry; values from VASP
! - Space-group type: No. 156
! - Energy relative to the elements: 769 meV/atom
! - DOS at the Fermi energy: 0.798 states/eV/atom
&SYSTEM
  ibrav = 0, nat = 3, ntyp = 3
/
ATOMIC_SPECIES
Zn 65.41 Zn.upf
Re 186.21 Re.upf
Pb 207.20 Pb.upf
CELL_PARAMETERS angstrom
3.059 0.000 0.000
-1.530 2.649 0.000
0.000 0.000 7.170
ATOMIC_POSITIONS crystal
Zn 0.000 0.000 0.000
Re 0.333 0.667 0.724
Pb 0.667 0.333 0.383


Record 7
! PBE Rb3LiB2S6, optimized geometry; values from VASP
! - Space-group type: No. 164
! - DOS at the Fermi energy: 0.354 states/eV/atom
! - E_form (uncorrected): -760 meV per atom
&SYSTEM
  ibrav = 0, nat = 12, ntyp = 4
/
ATOMIC_SPECIES
Rb 85.47 Rb.upf
Li 6.94 Li.upf
B 10.81 B.upf
S 32.06 S.upf
CELL_PARAMETERS angstrom
6.848 0.000 0.000
-3.424 5.931 0.000
0.000 0.000 8.985
ATOMIC_POSITIONS crystal
Rb 0.000 0.000 0.000
Rb 0.333 0.667 0.651
Rb 0.667 0.333 0.349
Li 0.000 0.000 0.500
B 0.333 0.667 0.293
B 0.667 0.333 0.707
S 0.181 0.362 0.295
S 0.181 0.819 0.295
S 0.362 0.181 0.705
S 0.638 0.819 0.295
S 0.819 0.181 0.705
S 0.819 0.638 0.705


Record 8
! PBE CdPPt2S, optimized geometry; values from VASP
! - Space-group type: No. 123
! - DOS at the Fermi energy: 0.596 states/eV/atom
! - E_form (uncorrected): 236 meV per atom
&SYSTEM
  ibrav = 0, nat = 5, ntyp = 4
/
ATOMIC_SPECIES
Cd 112.41 Cd.upf
P 30.97 P.upf
Pt 195.08 Pt.upf
S 32.06 S.upf
CELL_PARAMETERS angstrom
4.510 0.000 0.000
0.000 4.510 0.000
0.000 0.000 4.833
ATOMIC_POSITIONS crystal
Cd 0.000 0.000 0.000
P 0.500 0.500 0.500
Pt 0.000 0.500 0.500
Pt 0.500 0.000 0.500
S 0.500 0.500 0.000


Record 9
! PBE K3Sr2US6, optimized geometry; values from VASP
! - Space-group type: No. 12
! - E_form (uncorrected): -1658 meV per atom
&SYSTEM
  ibrav = 0, nat = 12, ntyp = 4
/
ATOMIC_SPECIES
K 39.10 K.upf
Sr 87.62 Sr.upf
U 238.03 U.upf
S 32.06 S.upf
CELL_PARAMETERS angstrom
3.682 -6.373 0.000
3.682 6.373 0.000
-2.479 0.000 7.337
ATOMIC_POSITIONS crystal
K 0.000 0.000 0.000
K 0.330 0.670 0.000
K 0.670 0.330 0.000
Sr 0.167 0.833 0.500
Sr 0.833 0.167 0.500
U 0.500 0.500 0.500
S 0.132 0.431 0.293
S 0.272 0.272 0.705
S 0.431 0.132 0.293
S 0.569 0.868 0.707
S 0.728 0.728 0.295
S 0.868 0.569 0.707


Record 10
! PBE La6Sm12Ho, optimized geometry; values from VASP
! - Space-group type: No. 148
! - Energy relative to the elements: 127 meV/atom
! - DOS at the Fermi energy: 1.656 states/eV/atom
&SYSTEM
  ibrav = 0, nat = 19, ntyp = 3
/
ATOMIC_SPECIES
La 138.91 La.upf
Sm 150.36 Sm.upf
Ho 164.93 Ho.upf
CELL_PARAMETERS angstrom
6.162 3.558 5.072
-6.162 3.558 5.072
0.000 -7.115 5.072
ATOMIC_POSITIONS crystal
La 0.198 0.765 0.593
La 0.235 0.407 0.802
La 0.407 0.802 0.235
La 0.593 0.198 0.765
La 0.765 0.593 0.198
La 0.802 0.235 0.407
Sm 0.033 0.938 0.279
Sm 0.062 0.721 0.967
Sm 0.139 0.479 0.312
Sm 0.279 0.033 0.938
Sm 0.312 0.139 0.479
Sm 0.479 0.312 0.139
Sm 0.521 0.688 0.861
Sm 0.688 0.861 0.521
Sm 0.721 0.967 0.062
Sm 0.861 0.521 0.688
Sm 0.938 0.279 0.033
Sm 0.967 0.062 0.721
Ho 0.500 0.500 0.500


Record 11
! PBE NpBe2F8, optimized geometry; values from VASP
! - Space-group type: No. 12
! - DOS at the Fermi energy: 0.768 states/eV/atom
! - E_form (uncorrected): -3204 meV per atom
&SYSTEM
  ibrav = 0, nat = 11, ntyp = 3
/
ATOMIC_SPECIES
Np 237.00 Np.upf
Be 9.01 Be.upf
F 19.00 F.upf
CELL_PARAMETERS angstrom
4.833 -2.486 0.000
4.833 2.486 0.000
-1.793 0.000 5.314
ATOMIC_POSITIONS crystal
Np 0.000 0.000 0.000
Be 0.207 0.207 0.689
Be 0.793 0.793 0.311
F 0.106 0.642 0.213
F 0.159 0.159 0.391
F 0.358 0.894 0.787
F 0.372 0.372 0.805
F 0.628 0.628 0.195
F 0.642 0.106 0.213
F 0.841 0.841 0.609
F 0.894 0.358 0.787


Record 12
! PBE Pm2Tm3Te6, optimized geometry; values from VASP
! - Space-group type: No. 12
! - DOS at the Fermi energy: 0.455 states/eV/atom
! - E_form (uncorrected): -1381 meV per atom
&SYSTEM
  ibrav = 0, nat = 11, ntyp = 3
/
ATOMIC_SPECIES
Pm 145.00 Pm.upf
Tm 168.93 Tm.upf
Te 127.60 Te.upf
CELL_PARAMETERS angstrom
3.776 -6.500 0.000
3.776 6.500 0.000
-2.524 0.000 7.114
ATOMIC_POSITIONS crystal
Pm 0.164 0.836 0.000
Pm 0.836 0.164 0.000
Tm 0.000 0.000 0.500
Tm 0.329 0.671 0.500
Tm 0.671 0.329 0.500
Te 0.095 0.416 0.746
Te 0.265 0.265 0.258
Te 0.416 0.095 0.746
Te 0.584 0.905 0.254
Te 0.735 0.735 0.742
Te 0.905 0.584 0.254


Number 1: size of the total moment 0.00 μB/f.u.. Number 2: size of the total moment 0.76 μB/f.u.. Number 3: size of the total moment 0.00 μB/f.u.. Number 4: size of the total moment 0.00 μB/f.u.. Number 5: size of the total moment 0.00 μB/f.u.. Number 6: size of the total moment 0.73 μB/f.u.. Number 7: size of the total moment 1.46 μB/f.u.. Number 8: size of the total moment 0.00 μB/f.u.. Number 9: size of the total moment 1.00 μB/f.u.. Number 10: size of the total moment 0.00 μB/f.u.. Number 11: size of the total moment 3.00 μB/f.u.. Number 12: size of the total moment 0.00 μB/f.u..